Below is ZrCoTc3 after structural relaxation, with properties calculated at the PBE level.

Cell: 4.682 4.682 4.682 Å, 90.00 90.00 90.00°
Element x y z (fractional)
Co 0.500 0.500 0.500
Tc 0.000 0.500 0.000
Tc 0.000 0.000 0.500
Tc 0.500 0.000 0.000
Zr 0.000 0.000 0.000

Summary:
Energy relative to the lowest polymorph listed for this composition = 1495 meV per atom
ΔH_f (0 K) = 226 kJ/mol of atoms